Ac6HgPb5 after structural relaxation, computed with PBE-GGA.

a = 5.563 Å, b = 10.703 Å, c = 9.900 Å
α = 57.28°, β = 73.69°, γ = 58.69°
Fractional positions:
1 Pb 0.500 0.832 0.336
2 Pb 0.500 0.500 0.000
3 Pb 0.000 0.660 0.680
4 Pb 0.000 0.340 0.320
5 Pb 0.500 0.168 0.664
6 Ac 0.754 0.078 0.334
7 Ac 0.246 0.588 0.334
8 Ac 0.754 0.412 0.666
9 Ac 0.259 0.240 0.000
10 Ac 0.741 0.760 0.000
11 Ac 0.246 0.922 0.666
12 Hg 0.000 0.000 0.000

Properties
- Formation energy: -484 meV/atom
- DOS(E_F): 10.35 states/eV/f.u.
- Relative energy among the computed polymorphs: 2.4 meV per atom
- Uncorrected energy: -4.11 eV per atom